one:
Entry from Alexandria via LeMat-Bulk: a geometry-optimized B2PdICl structure (PBE).

Values from the calculation:
- SG = No. 8
- DOS at the Fermi energy (states/eV per atom) = 0.2004
- total magnetic moment (μB/f.u.) = 0.000

Structure (CIF):
```
data_B2PdICl
_chemical_formula_sum 'B2 Pd1 I1 Cl1'
_cell_length_a 4.557
_cell_length_b 4.557
_cell_length_c 9.151
_cell_angle_alpha 112.24
_cell_angle_beta 112.24
_cell_angle_gamma 40.42
_symmetry_space_group_name_H-M 'P 1'
_symmetry_Int_Tables_number 1
_symmetry_space_group_name_Hall 'P 1'
loop_
_atom_site_label
_atom_site_type_symbol
_atom_site_fract_x
_atom_site_fract_y
_atom_site_fract_z
B1 B 0.000 0.000 0.000
B2 B 0.586 0.586 0.032
Pd1 Pd 0.394 0.394 0.799
I1 I 0.702 0.702 0.555
Cl1 Cl 0.827 0.827 0.113
```

---

two:
Entry from Alexandria via LeMat-Bulk: a geometry-optimized B2PdICl structure (PBE).

Values from the calculation:
- SG = No. 8
- DOS at the Fermi energy (states/eV per atom) = 0.1970
- total magnetic moment (μB/f.u.) = 0.000

Structure (CIF):
```
data_B2PdICl
_chemical_formula_sum 'B2 Pd1 I1 Cl1'
_cell_length_a 5.761
_cell_length_b 5.761
_cell_length_c 6.647
_cell_angle_alpha 109.20
_cell_angle_beta 109.20
_cell_angle_gamma 31.98
_symmetry_space_group_name_H-M 'P 1'
_symmetry_Int_Tables_number 1
_symmetry_space_group_name_Hall 'P 1'
loop_
_atom_site_label
_atom_site_type_symbol
_atom_site_fract_x
_atom_site_fract_y
_atom_site_fract_z
B1 B 0.000 0.000 0.000
B2 B 0.559 0.559 0.976
Pd1 Pd 0.168 0.168 0.902
I1 I 0.008 0.008 0.347
Cl1 Cl 0.822 0.822 0.792
```

---

Which of them is least stable? Easy: two.

---

one:
Entry from Alexandria via LeMat-Bulk: a geometry-optimized B2PdICl structure (PBE).

Values from the calculation:
- SG = No. 8
- DOS at the Fermi energy (states/eV per atom) = 0.2475
- total magnetic moment (μB/f.u.) = 0.000

Structure (CIF):
```
data_B2PdICl
_chemical_formula_sum 'B2 Pd1 I1 Cl1'
_cell_length_a 8.312
_cell_length_b 8.312
_cell_length_c 3.292
_cell_angle_alpha 92.40
_cell_angle_beta 92.40
_cell_angle_gamma 26.62
_symmetry_space_group_name_H-M 'P 1'
_symmetry_Int_Tables_number 1
_symmetry_space_group_name_Hall 'P 1'
loop_
_atom_site_label
_atom_site_type_symbol
_atom_site_fract_x
_atom_site_fract_y
_atom_site_fract_z
B1 B 0.000 0.000 0.000
B2 B 0.035 0.035 0.516
Pd1 Pd 0.458 0.458 0.244
I1 I 0.840 0.840 0.034
Cl1 Cl 0.147 0.147 0.526
```

---

two:
Entry from Alexandria via LeMat-Bulk: a geometry-optimized B2PdICl structure (PBE).

Values from the calculation:
- SG = No. 1
- DOS at the Fermi energy (states/eV per atom) = 0.1744
- total magnetic moment (μB/f.u.) = 0.000

Structure (CIF):
```
data_B2PdICl
_chemical_formula_sum 'B2 Pd1 I1 Cl1'
_cell_length_a 3.086
_cell_length_b 3.963
_cell_length_c 9.285
_cell_angle_alpha 86.47
_cell_angle_beta 89.23
_cell_angle_gamma 67.18
_symmetry_space_group_name_H-M 'P 1'
_symmetry_Int_Tables_number 1
_symmetry_space_group_name_Hall 'P 1'
loop_
_atom_site_label
_atom_site_type_symbol
_atom_site_fract_x
_atom_site_fract_y
_atom_site_fract_z
B1 B 0.000 0.000 0.000
B2 B 0.440 0.115 0.067
Pd1 Pd 0.732 0.528 0.112
I1 I 0.680 0.605 0.407
Cl1 Cl 0.012 0.990 0.807
```

---

three:
Entry from Alexandria via LeMat-Bulk: a geometry-optimized B2PdICl structure (PBE).

Values from the calculation:
- SG = No. 1
- DOS at the Fermi energy (states/eV per atom) = 0.1749
- total magnetic moment (μB/f.u.) = 0.000

Structure (CIF):
```
data_B2PdICl
_chemical_formula_sum 'B2 Pd1 I1 Cl1'
_cell_length_a 3.287
_cell_length_b 4.225
_cell_length_c 7.731
_cell_angle_alpha 91.43
_cell_angle_beta 90.94
_cell_angle_gamma 94.12
_symmetry_space_group_name_H-M 'P 1'
_symmetry_Int_Tables_number 1
_symmetry_space_group_name_Hall 'P 1'
loop_
_atom_site_label
_atom_site_type_symbol
_atom_site_fract_x
_atom_site_fract_y
_atom_site_fract_z
B1 B 0.000 0.000 0.000
B2 B 0.485 0.961 0.925
Pd1 Pd 0.741 0.481 0.970
I1 I 0.001 0.244 0.271
Cl1 Cl 0.503 0.772 0.702
```

---

Which of them is least stable? Easy: three.

---

one:
Entry from Alexandria via LeMat-Bulk: a geometry-optimized B2PdICl structure (PBE).

Values from the calculation:
- SG = No. 6
- DOS at the Fermi energy (states/eV per atom) = 0.2641
- total magnetic moment (μB/f.u.) = 0.000

Structure (CIF):
```
data_B2PdICl
_chemical_formula_sum 'B2 Pd1 I1 Cl1'
_cell_length_a 3.235
_cell_length_b 3.518
_cell_length_c 9.347
_cell_angle_alpha 90.00
_cell_angle_beta 91.82
_cell_angle_gamma 90.00
_symmetry_space_group_name_H-M 'P 1'
_symmetry_Int_Tables_number 1
_symmetry_space_group_name_Hall 'P 1'
loop_
_atom_site_label
_atom_site_type_symbol
_atom_site_fract_x
_atom_site_fract_y
_atom_site_fract_z
B1 B 0.000 0.000 0.000
B2 B 0.483 0.000 0.941
Pd1 Pd 0.757 0.500 0.857
I1 I 0.537 0.500 0.575
Cl1 Cl 0.982 0.000 0.192
```

---

two:
Entry from Alexandria via LeMat-Bulk: a geometry-optimized B2PdICl structure (PBE).

Values from the calculation:
- SG = No. 1
- DOS at the Fermi energy (states/eV per atom) = 0.1911
- total magnetic moment (μB/f.u.) = 0.000

Structure (CIF):
```
data_B2PdICl
_chemical_formula_sum 'B2 Pd1 I1 Cl1'
_cell_length_a 3.055
_cell_length_b 4.157
_cell_length_c 8.656
_cell_angle_alpha 102.70
_cell_angle_beta 90.26
_cell_angle_gamma 111.51
_symmetry_space_group_name_H-M 'P 1'
_symmetry_Int_Tables_number 1
_symmetry_space_group_name_Hall 'P 1'
loop_
_atom_site_label
_atom_site_type_symbol
_atom_site_fract_x
_atom_site_fract_y
_atom_site_fract_z
B1 B 0.000 0.000 0.000
B2 B 0.465 0.930 0.097
Pd1 Pd 0.741 0.480 0.065
I1 I 0.565 0.121 0.377
Cl1 Cl 0.941 0.888 0.785
```

---

Which of them is least stable? Easy: one.

---

one:
Entry from Alexandria via LeMat-Bulk: a geometry-optimized InB2Cl structure (PBE).

Values from the calculation:
- SG = No. 122
- DOS at the Fermi energy (states/eV per atom) = 0.0000
- total magnetic moment (μB/f.u.) = 0.000

Structure (CIF):
```
data_InB2Cl
_chemical_formula_sum 'In2 B4 Cl2'
_cell_length_a 6.476
_cell_length_b 6.476
_cell_length_c 6.476
_cell_angle_alpha 132.29
_cell_angle_beta 132.29
_cell_angle_gamma 69.77
_symmetry_space_group_name_H-M 'P 1'
_symmetry_Int_Tables_number 1
_symmetry_space_group_name_Hall 'P 1'
loop_
_atom_site_label
_atom_site_type_symbol
_atom_site_fract_x
_atom_site_fract_y
_atom_site_fract_z
In1 In 0.000 0.000 0.000
In2 In 0.750 0.250 0.500
B1 B 0.126 0.625 0.001
B2 B 0.375 0.376 0.501
B3 B 0.624 0.125 0.999
B4 B 0.875 0.874 0.499
Cl1 Cl 0.250 0.750 0.500
Cl2 Cl 0.500 0.500 0.000
```

---

two:
Entry from Alexandria via LeMat-Bulk: a geometry-optimized InB2Cl structure (PBE).

Values from the calculation:
- SG = No. 225
- DOS at the Fermi energy (states/eV per atom) = 0.5064
- total magnetic moment (μB/f.u.) = 0.000

Structure (CIF):
```
data_InB2Cl
_chemical_formula_sum 'In1 B2 Cl1'
_cell_length_a 4.488
_cell_length_b 4.488
_cell_length_c 4.488
_cell_angle_alpha 60.00
_cell_angle_beta 60.00
_cell_angle_gamma 60.00
_symmetry_space_group_name_H-M 'P 1'
_symmetry_Int_Tables_number 1
_symmetry_space_group_name_Hall 'P 1'
loop_
_atom_site_label
_atom_site_type_symbol
_atom_site_fract_x
_atom_site_fract_y
_atom_site_fract_z
In1 In 0.000 0.000 0.000
B1 B 0.250 0.250 0.250
B2 B 0.750 0.750 0.750
Cl1 Cl 0.500 0.500 0.500
```

---

Which of them is least stable? Easy: two.